DyScMoO6 after structural relaxation. Source: the Alexandria database, functional PBE+U.

Cell and atoms, written as POSCAR:
```
DyScMoO6
1.0
5.4067 0.0000 0.0000
-2.7033 4.6823 0.0000
0.0000 0.0000 4.5524
Dy Sc Mo O
1 1 1 6
Direct
0.0000 0.0000 0.0000
0.6667 0.3333 0.5000
0.3333 0.6667 0.0000
0.0232 0.3750 0.2387
0.0232 0.6481 0.7613
0.3519 0.3750 0.7613
0.3519 0.9768 0.2387
0.6250 0.6481 0.2387
0.6250 0.9768 0.7613
```

## Properties
Density of states at the Fermi level (states/eV per cell): 0.00
E (eV per atom): -7.894
Magnetization (μB per cell): 0.00